# 1
Density functional theory data (PBE with a Hubbard U) for an optimized crystal structure of LiVAgF6.

Lattice parameters (Å, degrees): 5.2579 5.2579 10.1213 90.00 90.00 120.00
Closest atoms and distances in Å follow each position.
Sites, in units of the cell vectors:
F1 0.6419 0.6184 0.1440  1 V 1.90, 1 Li 2.06
Li1 0.6667 0.3333 0.7500  6 F 2.06
Ag1 0.0000 0.0000 0.0000  6 F 2.43
F2 0.3581 0.9765 0.6440  1 V 1.90, 1 Li 2.06
Li2 0.3333 0.6667 0.2500  6 F 2.06
F3 0.9765 0.6184 0.3560  1 V 1.90, 1 Li 2.06
F4 0.3581 0.3816 0.8560  1 V 1.90, 1 Li 2.06
F5 0.3816 0.0235 0.1440  1 V 1.90, 1 Li 2.06
F6 0.6184 0.6419 0.6440  1 V 1.90, 1 Li 2.06
F7 0.0235 0.6419 0.8560  1 V 1.90, 1 Li 2.06
F8 0.9765 0.3581 0.1440  1 V 1.90, 1 Li 2.06
F9 0.3816 0.3581 0.3560  1 V 1.90, 1 Li 2.06
V1 0.3333 0.6667 0.7500  6 F 1.90
F10 0.0235 0.3816 0.6440  1 V 1.90, 1 Li 2.06
Ag2 0.0000 0.0000 0.5000  6 F 2.43
V2 0.6667 0.3333 0.2500  6 F 1.90
F11 0.6184 0.9765 0.8560  1 V 1.90, 1 Li 2.06
F12 0.6419 0.0235 0.3560  1 V 1.90, 1 Li 2.06

Properties
The density of states at the Fermi level comes out at 10.2 states/eV per cell. As for the electronic total energy: -4.98 eV/atom. The volume is 13.5 Å³/atom.

# 2
Density functional theory data (PBE with a Hubbard U) for an optimized crystal structure of LiVAgF2.

Lattice parameters (Å, degrees): 4.0057 5.7609 4.0057 90.00 90.00 90.00
Closest atoms and distances in Å follow each position.
Sites, in units of the cell vectors:
F1 0.5000 0.0000 0.0000  2 V 2.00
Ag1 0.0000 0.5000 0.0000  4 Li 2.83, 2 V 2.88
Li1 0.5000 0.5000 0.5000  4 Ag 2.83
V1 0.0000 0.0000 0.0000  4 F 2.00
F2 0.0000 0.0000 0.5000  2 V 2.00

Properties
The density of states at the Fermi level comes out at 2.1 states/eV per cell. As for the electronic total energy: -4.48 eV/atom. The energy above the most stable polymorph in this dataset comes out at 0.0000 eV/atom. The volume is 18.5 Å³/atom.

# 3
Density functional theory data (PBE with a Hubbard U) for an optimized crystal structure of Li2VAgF8.

Lattice parameters (Å, degrees): 4.6783 4.6705 6.8225 89.92 89.92 88.61
Closest atoms and distances in Å follow each position.
Sites, in units of the cell vectors:
F1 0.2738 0.2713 0.9994  1 V 1.82
V1 0.0000 0.0000 0.0000  6 F 1.82-1.90
F2 0.7262 0.7287 0.0006  1 V 1.82
F3 0.6895 0.6911 0.5001  2 Li 2.00, 1 Ag 2.07
Ag1 0.0000 0.0000 0.5000  2 F 2.07
Li1 0.5006 0.5006 0.2741  4 F 2.00-2.02
F4 0.3105 0.3089 0.4999  2 Li 2.00, 1 Ag 2.07
F5 0.8014 0.2010 0.2034  1 V 1.90, 1 Li 2.02
F6 0.1986 0.7990 0.2034  1 V 1.90, 1 Li 2.02
F7 0.1986 0.7990 0.7966  1 V 1.90, 1 Li 2.02
F8 0.8014 0.2010 0.7966  1 V 1.90, 1 Li 2.02
Li2 0.4994 0.4994 0.7259  4 F 2.00-2.02

Properties
The density of states at the Fermi level comes out at 0.3 states/eV per cell. As for the electronic total energy: -4.83 eV/atom. The volume is 12.4 Å³/atom.

# 4
Density functional theory data (PBE with a Hubbard U) for an optimized crystal structure of Li2VAgF6.

Lattice parameters (Å, degrees): 5.4231 5.3785 5.8525 61.95 63.03 60.46
Closest atoms and distances in Å follow each position.
Sites, in units of the cell vectors:
V1 0.3209 0.3236 0.0333  6 F 1.97-2.00
F1 0.9369 0.5745 0.2320  1 Li 1.96, 1 V 2.00
Ag1 0.8091 0.8029 0.5832  6 F 2.37-2.61
F2 0.1372 0.3437 0.7971  1 Li 1.91, 1 V 1.98
F3 0.2828 0.9248 0.2404  1 Li 1.96, 1 V 1.97
F4 0.7073 0.1642 0.7732  1 Li 1.92, 1 V 2.00
F5 0.3464 0.7183 0.7784  1 Li 1.94, 1 V 1.97
Li1 0.5505 0.5266 0.3984  3 F 1.96
F6 0.5624 0.2708 0.2376  1 Li 1.96, 1 V 1.99
Li2 0.0081 0.0122 0.9415  3 F 1.91-1.94

Properties
The density of states at the Fermi level comes out at 0.0 states/eV per cell. As for the electronic total energy: -5.05 eV/atom. The volume is 12.5 Å³/atom.

# 5
Density functional theory data (PBE with a Hubbard U) for an optimized crystal structure of LiVAg2F6.

Lattice parameters (Å, degrees): 5.6433 5.6913 7.9646 90.00 89.86 90.00
Closest atoms and distances in Å follow each position.
Sites, in units of the cell vectors:
V1 0.5000 0.0000 0.5000  6 F 1.98-1.99
F1 0.7265 0.2852 0.9623  1 V 1.99, 1 Li 2.09
F2 0.7115 0.2729 0.5396  1 V 1.98, 1 Li 2.10
V2 0.0000 0.5000 0.0000  6 F 1.98-1.99
Li1 0.5000 0.0000 0.0000  6 F 2.09-2.10
F3 0.7735 0.7852 0.5377  1 V 1.99, 1 Li 2.09
Ag1 0.0083 0.9720 0.2506  6 F 2.45-2.69
F4 0.2115 0.2271 0.0395  1 V 1.98, 1 Li 2.10
F5 0.4242 0.9877 0.7430  1 V 1.98, 1 Li 2.09
Ag2 0.4917 0.4720 0.2494  6 F 2.45-2.69
F6 0.7885 0.7729 0.9604  1 V 1.98, 1 Li 2.10
F7 0.5758 0.0123 0.2570  1 V 1.98, 1 Li 2.09
Ag3 0.9917 0.0280 0.7494  6 F 2.45-2.69
F8 0.2265 0.2148 0.4623  1 V 1.99, 1 Li 2.09
F9 0.9242 0.5123 0.2430  1 V 1.98, 1 Li 2.09
Ag4 0.5083 0.5280 0.7506  6 F 2.45-2.69
F10 0.2885 0.7271 0.4604  1 V 1.98, 1 Li 2.10
F11 0.0758 0.4877 0.7570  1 V 1.98, 1 Li 2.09
F12 0.2735 0.7148 0.0377  1 V 1.99, 1 Li 2.09
Li2 0.0000 0.5000 0.5000  6 F 2.09-2.10

Properties
The density of states at the Fermi level comes out at 0.0 states/eV per cell. As for the electronic total energy: -4.78 eV/atom. The volume is 12.8 Å³/atom.

# 6
Density functional theory data (PBE with a Hubbard U) for an optimized crystal structure of LiVAgF2.

Lattice parameters (Å, degrees): 3.8505 5.3036 3.8505 90.00 90.00 90.00
Closest atoms and distances in Å follow each position.
Sites, in units of the cell vectors:
Li1 0.0000 0.0000 0.0000  4 F 1.93
Ag1 0.5000 0.5000 0.5000  4 V 2.72
F1 0.5000 0.0000 0.0000  2 Li 1.93
V1 0.0000 0.5000 0.0000  2 Li 2.65, 4 Ag 2.72
F2 0.0000 0.0000 0.5000  2 Li 1.93

Properties
The density of states at the Fermi level comes out at 0.8 states/eV per cell. As for the electronic total energy: -3.91 eV/atom. The energy above the most stable polymorph in this dataset comes out at 0.5715 eV/atom. The volume is 15.7 Å³/atom.

# 7
Density functional theory data (PBE with a Hubbard U) for an optimized crystal structure of LiAgWF6.

Lattice parameters (Å, degrees): 5.4204 5.4204 10.7272 90.00 90.00 120.00
Closest atoms and distances in Å follow each position.
Sites, in units of the cell vectors:
F1 0.6309 0.6426 0.6454  1 W 2.02, 1 Li 2.11
Ag1 0.0000 0.0000 0.0000  6 F 2.51
Ag2 0.0000 0.0000 0.5000  6 F 2.51
F2 0.3691 0.3574 0.3546  1 W 2.02, 1 Li 2.11
F3 0.6309 0.9883 0.8546  1 W 2.02, 1 Li 2.11
W1 0.6667 0.3333 0.2500  6 F 2.02
W2 0.3333 0.6667 0.7500  6 F 2.02
F4 0.3574 0.3691 0.8546  1 W 2.02, 1 Li 2.11
Li1 0.6667 0.3333 0.7500  6 F 2.11
F5 0.9883 0.6309 0.3546  1 W 2.02, 1 Li 2.11
Li2 0.3333 0.6667 0.2500  6 F 2.11
F6 0.6426 0.6309 0.1454  1 W 2.02, 1 Li 2.11
F7 0.6426 0.0117 0.3546  1 W 2.02, 1 Li 2.11
F8 0.3691 0.0117 0.1454  1 W 2.02, 1 Li 2.11
F9 0.0117 0.6426 0.8546  1 W 2.02, 1 Li 2.11
F10 0.0117 0.3691 0.6454  1 W 2.02, 1 Li 2.11
F11 0.9883 0.3574 0.1454  1 W 2.02, 1 Li 2.11
F12 0.3574 0.9883 0.6454  1 W 2.02, 1 Li 2.11

Properties
The density of states at the Fermi level comes out at 0.0 states/eV per cell. As for the electronic total energy: -4.97 eV/atom. The volume is 15.2 Å³/atom.